# 1
# CaHgF2

A relaxed structure of CaHgF2 (PBE, Alexandria via LeMat-Bulk).

Lattice parameters (Å, degrees): 9.1204 9.1204 9.1204 22.86 22.86 22.86
With the nearest neighbours (Å) after each atom.
Atoms (fractional coordinates):
F 0.8692 0.8692 0.8692  3 Ca 2.30
F 0.1308 0.1308 0.1308  3 Ca 2.30
Hg 0.0000 0.0000 0.0000  2 F 3.48, 6 Hg 3.62
Ca 0.5000 0.5000 0.5000  6 F 2.30

Summary:
The value obtained for the density of states at the Fermi level is 0.000 states/eV/f.u. For the raw formation energy, the calculation gives -2.8357 eV/atom. Its distance to the lowest polymorph of the same formula is 0 meV per atom.

***

# 2
# Nd8CuSi3Br4

A relaxed structure of Nd8CuSi3Br4 (PBE, Alexandria via LeMat-Bulk).

Lattice parameters (Å, degrees): 8.4987 8.7885 8.4987 118.92 120.00 90.00
With the nearest neighbours (Å) after each atom.
Atoms (fractional coordinates):
Cu 0.0000 0.5000 0.0000  6 Nd 2.91
Br 0.5000 0.0000 0.0000  6 Nd 3.21
Br 0.5000 0.0000 0.5000  6 Nd 3.21-3.22
Br 0.0000 0.0000 0.0000  6 Nd 3.21-3.22
Br 0.0000 0.0000 0.5000  6 Nd 3.21-3.22
Si 0.5000 0.5000 0.0000  6 Nd 2.91
Si 0.5000 0.5000 0.5000  6 Nd 2.91
Si 0.0000 0.5000 0.5000  6 Nd 2.91
Nd 0.2386 0.7153 0.4772  2 Si 2.91, 1 Cu 2.91, 3 Br 3.21
Nd 0.7381 0.7153 0.9767  2 Si 2.91, 1 Cu 2.91, 3 Br 3.21
Nd 0.2620 0.2861 0.5241  3 Si 2.91, 3 Br 3.22
Nd 0.7614 0.2847 0.5228  2 Si 2.91, 1 Cu 2.91, 3 Br 3.21
Nd 0.7614 0.2847 0.0233  2 Si 2.91, 1 Cu 2.91, 3 Br 3.21
Nd 0.7380 0.7139 0.4759  3 Si 2.91, 3 Br 3.22
Nd 0.2619 0.2847 0.0233  2 Si 2.91, 1 Cu 2.91, 3 Br 3.21
Nd 0.2386 0.7153 0.9767  2 Si 2.91, 1 Cu 2.91, 3 Br 3.21

Summary:
The value obtained for the density of states at the Fermi level is 8.040 states/eV/f.u. For the raw formation energy, the calculation gives -0.9583 eV/atom.

***

# 3
# Na2HgSb

A relaxed structure of Na2HgSb (PBE, Alexandria via LeMat-Bulk).

Lattice parameters (Å, degrees): 3.4759 3.4759 10.4685 80.44 80.44 60.00
With the nearest neighbours (Å) after each atom.
Atoms (fractional coordinates):
Na 0.2501 0.2501 0.2497  3 Sb 3.26, 3 Hg 3.26, 6 Na 3.48
Na 0.7499 0.7499 0.7503  3 Sb 3.26, 3 Hg 3.26, 6 Na 3.48
Hg 0.5000 0.5000 0.5000  6 Na 3.26, 6 Hg 3.48
Sb 0.0000 0.0000 0.0000  6 Na 3.26, 6 Sb 3.48

Summary:
The value obtained for the density of states at the Fermi level is 0.986 states/eV/f.u. For the raw formation energy, the calculation gives -0.2017 eV/atom.

***

# 4
# Li12Ca2Zn5

A relaxed structure of Li12Ca2Zn5 (PBE, Alexandria via LeMat-Bulk).

Lattice parameters (Å, degrees): 7.2026 7.2026 7.2026 82.87 82.87 82.87
With the nearest neighbours (Å) after each atom.
Atoms (fractional coordinates):
Li 0.3454 0.3454 0.8690  3 Zn 2.70-2.88, 6 Li 2.94
Li 0.7206 0.0000 0.2794  6 Li 2.66-2.94, 2 Zn 2.71
Li 0.8690 0.3454 0.3454  3 Zn 2.70-2.88, 6 Li 2.94
Li 0.3454 0.8690 0.3454  3 Zn 2.70-2.88, 6 Li 2.94
Li 0.0000 0.7206 0.2794  6 Li 2.66-2.94, 2 Zn 2.71
Li 0.2794 0.7206 0.0000  6 Li 2.66-2.94, 2 Zn 2.71
Li 0.6546 0.6546 0.1310  3 Zn 2.70-2.88, 6 Li 2.94
Li 0.7206 0.2794 0.0000  6 Li 2.66-2.94, 2 Zn 2.71
Li 0.6546 0.1310 0.6546  3 Zn 2.70-2.88, 6 Li 2.94
Li 0.1310 0.6546 0.6546  3 Zn 2.70-2.88, 6 Li 2.94
Li 0.0000 0.2794 0.7206  6 Li 2.66-2.94, 2 Zn 2.71
Li 0.2794 0.0000 0.7206  6 Li 2.66-2.94, 2 Zn 2.71
Zn 0.8990 0.8990 0.8990  4 Zn 2.82-2.90, 9 Li 2.88-3.01
Zn 0.1010 0.1010 0.1010  4 Zn 2.82-2.90, 9 Li 2.88-3.01
Zn 0.0000 0.0000 0.5000  8 Li 2.70-2.71, 2 Zn 2.90
Zn 0.5000 0.0000 0.0000  8 Li 2.70-2.71, 2 Zn 2.90
Zn 0.0000 0.5000 0.0000  8 Li 2.70-2.71, 2 Zn 2.90
Ca 0.6647 0.6647 0.6647  4 Zn 3.27-3.62, 12 Li 3.34-3.52
Ca 0.3353 0.3353 0.3353  4 Zn 3.27-3.62, 12 Li 3.34-3.52

Summary:
Its formation energy from the elements is -0.09 eV/atom. The value obtained for the density of states at the Fermi level is 11.798 states/eV/f.u.

***

# 5
# Tm2Th2Sc5

A relaxed structure of Tm2Th2Sc5 (PBE, Alexandria via LeMat-Bulk).

Lattice parameters (Å, degrees): 3.4548 9.0010 11.4438 130.63 73.02 111.89
With the nearest neighbours (Å) after each atom.
Atoms (fractional coordinates):
Tm 0.8774 0.7697 0.6238  7 Sc 3.39-3.49, 2 Tm 3.45, 1 Th 3.71
Tm 0.1226 0.2303 0.3762  7 Sc 3.39-3.49, 2 Tm 3.45, 1 Th 3.71
Th 0.3796 0.7314 0.0916  5 Sc 3.11-3.43, 2 Th 3.45
Th 0.6204 0.2686 0.9084  5 Sc 3.11-3.43, 2 Th 3.45
Sc 0.0644 0.5639 0.7696  3 Sc 3.04-3.14, 1 Th 3.31, 1 Tm 3.39
Sc 0.9356 0.4361 0.2304  3 Sc 3.04-3.14, 1 Th 3.31, 1 Tm 3.39
Sc 0.3136 0.1768 0.6206  4 Sc 2.99-3.14, 2 Th 3.24-3.25
Sc 0.0000 0.0000 0.0000  2 Sc 3.04, 2 Th 3.11
Sc 0.6864 0.8232 0.3794  4 Sc 2.99-3.14, 2 Th 3.24-3.25

Summary:
Its formation energy from the elements is 0.10 eV/atom. The value obtained for the density of states at the Fermi level is 14.475 states/eV/f.u. Its distance to the lowest polymorph of the same formula is 0 meV per atom.

***

# 6
# YInP

A relaxed structure of YInP (PBE, Alexandria via LeMat-Bulk).

Lattice parameters (Å, degrees): 3.8943 3.8943 23.7200 90.00 90.00 120.00
With the nearest neighbours (Å) after each atom.
Atoms (fractional coordinates):
Y 0.3333 0.6667 0.4358  3 P 2.82
Y 0.6667 0.3333 0.7087  3 P 2.83
Y 0.6667 0.3333 0.5642  3 P 2.82
Y 0.3333 0.6667 0.2913  3 P 2.83
In 0.3333 0.6667 0.9467  3 P 2.88
In 0.6667 0.3333 0.1897  3 P 2.67
In 0.6667 0.3333 0.0533  3 P 2.88
In 0.3333 0.6667 0.8103  3 P 2.67
P 0.3333 0.6667 0.1289  6 In 2.67-2.88
P 0.6667 0.3333 0.8711  6 In 2.67-2.88
P 0.6667 0.3333 0.3638  6 Y 2.82-2.83
P 0.3333 0.6667 0.6362  6 Y 2.82-2.83

Summary:
Its formation energy from the elements is -0.48 eV/atom. The value obtained for the density of states at the Fermi level is 1.966 states/eV/f.u.

***

# 7
# H2WCl

A relaxed structure of H2WCl (PBE, Alexandria via LeMat-Bulk).

Lattice parameters (Å, degrees): 3.8685 3.8685 3.8685 60.00 60.00 60.00
With the nearest neighbours (Å) after each atom.
Atoms (fractional coordinates):
H 0.2500 0.2500 0.2500  4 W 2.37, 4 Cl 2.37
H 0.7500 0.7500 0.7500  4 W 2.37, 4 Cl 2.37
Cl 0.0000 0.0000 0.0000  8 H 2.37
W 0.5000 0.5000 0.5000  8 H 2.37

Summary:
The value obtained for the density of states at the Fermi level is 1.447 states/eV/f.u. Its distance to the lowest polymorph of the same formula is 898 meV per atom.

***

# 8
# Ca2H3Rh

A relaxed structure of Ca2H3Rh (PBE, Alexandria via LeMat-Bulk).

Lattice parameters (Å, degrees): 7.3111 6.7086 6.1719 123.78 126.32 90.00
With the nearest neighbours (Å) after each atom.
Atoms (fractional coordinates):
H 0.7464 0.7500 0.0000  1 Rh 1.81
H 0.7550 0.0104 0.5269  1 Rh 1.71
H 0.2536 0.2500 0.0000  1 Rh 1.81
H 0.2450 0.9896 0.4731  1 Rh 1.71
H 0.7719 0.5104 0.5269  1 Rh 1.71
H 0.2281 0.4896 0.4731  1 Rh 1.71
Rh 0.9946 0.7500 0.0000  3 H 1.71-1.81
Rh 0.0054 0.2500 0.0000  3 H 1.71-1.81
Ca 0.4969 0.2406 0.4811  6 H 2.42-2.58
Ca 0.9843 0.7406 0.4811  6 H 2.42-2.58
Ca 0.5031 0.7594 0.5189  6 H 2.42-2.58
Ca 0.0157 0.2594 0.5189  6 H 2.42-2.58

Summary:
The total energy comes out at -4.088 eV/atom. The value obtained for the density of states at the Fermi level is 0.819 states/eV/f.u.